Entry 1:
# Nd5DySc4 | the Alexandria database | GGA-PBE | optimized geometry
data_Nd5DySc4
_chemical_formula_sum 'Nd5 Dy1 Sc4'
_symmetry_space_group_name_H-M 'P 1'
_symmetry_Int_Tables_number 1
_symmetry_space_group_name_Hall 'P 1'
_cell_length_a 3.596
_cell_length_b 3.596
_cell_length_c 23.392
_cell_angle_alpha 90.00
_cell_angle_beta 90.00
_cell_angle_gamma 90.00
loop_
_atom_site_label
_atom_site_type_symbol
_atom_site_fract_x
_atom_site_fract_y
_atom_site_fract_z
_atom_site_occupancy
Nd1 Nd 0.500 0.500 0.108 1
Nd2 Nd 0.500 0.500 0.305 1
Nd3 Nd 0.500 0.500 0.500 1
Nd4 Nd 0.500 0.500 0.695 1
Nd5 Nd 0.500 0.500 0.892 1
Dy1 Dy 0.000 0.000 0.000 1
Sc1 Sc 0.000 0.000 0.207 1
Sc2 Sc 0.000 0.000 0.402 1
Sc3 Sc 0.000 0.000 0.598 1
Sc4 Sc 0.000 0.000 0.793 1
# Crystal system: tetragonal
# Space group: P4/mmm, No. 123
# Size of the total moment in μB per atom: 0.00
# Calculated formation energy in meV/atom: 47
# D(E_F) in states/eV/atom: 1.509


Entry 2:
# Pu2B2Ir5Pt | the Alexandria database | GGA-PBE | optimized geometry
data_Pu2B2Ir5Pt
_chemical_formula_sum 'Pu4 B4 Ir10 Pt2'
_symmetry_space_group_name_H-M 'P 1'
_symmetry_Int_Tables_number 1
_symmetry_space_group_name_Hall 'P 1'
_cell_length_a 3.526
_cell_length_b 9.207
_cell_length_c 9.207
_cell_angle_alpha 90.00
_cell_angle_beta 90.00
_cell_angle_gamma 90.00
loop_
_atom_site_label
_atom_site_type_symbol
_atom_site_fract_x
_atom_site_fract_y
_atom_site_fract_z
_atom_site_occupancy
Pu1 Pu 0.000 0.678 0.178 1
Pu2 Pu 0.000 0.322 0.822 1
Pu3 Pu 0.000 0.178 0.322 1
Pu4 Pu 0.000 0.822 0.678 1
B1 B 0.000 0.121 0.621 1
B2 B 0.000 0.879 0.379 1
B3 B 0.000 0.621 0.879 1
B4 B 0.000 0.379 0.121 1
Ir1 Ir 0.500 0.218 0.072 1
Ir2 Ir 0.500 0.782 0.928 1
Ir3 Ir 0.500 0.072 0.782 1
Ir4 Ir 0.500 0.718 0.428 1
Ir5 Ir 0.500 0.928 0.218 1
Ir6 Ir 0.500 0.282 0.572 1
Ir7 Ir 0.500 0.572 0.718 1
Ir8 Ir 0.500 0.428 0.282 1
Ir9 Ir 0.500 0.500 0.000 1
Ir10 Ir 0.500 0.000 0.500 1
Pt1 Pt 0.000 0.000 0.000 1
Pt2 Pt 0.000 0.500 0.500 1
# Crystal system: tetragonal
# Space group: P4/mbm, No. 127
# Size of the total moment in μB per atom: 0.78
# Calculated formation energy in meV/atom: -398
# D(E_F) in states/eV/atom: 2.187


Question: Number 1 is which compound?
Answer: Nd5DySc4